The following is a GGA+U calculation of Sm2CoCuO6 after structural relaxation, from the Alexandria database.

The structure in POSCAR format:
```
Sm2CoCuO6
1.0
5.326 0.000 -0.015
0.000 5.594 0.000
0.025 0.000 7.585
Sm Co Cu O
4 2 2 12
Cartesian
0.094 5.223 1.896
2.769 3.168 5.681
5.257 0.371 5.673
2.581 2.426 1.889
2.675 0.000 3.785
0.000 2.797 0.000
2.663 0.000 -0.008
0.012 2.797 3.792
1.570 3.888 0.345
4.245 4.503 4.129
3.781 1.706 7.225
1.106 1.091 3.440
1.653 3.972 3.424
4.328 4.419 7.208
3.698 1.622 4.145
1.023 1.175 0.361
4.846 2.930 1.845
2.195 5.461 5.645
0.504 2.664 5.724
3.155 0.133 1.924
```

## Properties
The value obtained for the magnetic moment is 4.08 μB per cell. The value obtained for the calculated total energy is -138.27 eV/cell. The density of states at the Fermi level comes out at 0.2 states/eV/f.u. The space group is P2_1/c, No. 14. As for the crystal system: monoclinic.